# 1
The following is a GGA-PBEsol calculation of a geometry-optimized TcPPb structure, from Alexandria.

a = 3.9192 Å, b = 3.9192 Å, c = 4.5999 Å
α = 90.00°, β = 90.00°, γ = 120.00°
Closest atoms and distances in Å follow each position.
Sites, in units of the cell vectors:
P1 0.0000 0.0000 0.5000  3 Tc 2.26
Pb1 0.3333 0.6667 0.0000  6 Tc 3.23, 6 P 3.23
Tc1 0.6667 0.3333 0.5000  3 P 2.26

Output
As for the formation energy: 0.21 eV per atom. The value obtained for the energy above the most stable polymorph in this dataset is 0.2041 eV per atom. As for the space group: P-6m2 (187).

# 2
The following is a GGA-PBEsol calculation of a geometry-optimized CeSbPd structure, from Alexandria.

a = 4.5992 Å, b = 4.5992 Å, c = 7.4464 Å
α = 90.00°, β = 90.00°, γ = 120.00°
Closest atoms and distances in Å follow each position.
Sites, in units of the cell vectors:
Ce1 0.0000 0.0000 0.0154  3 Pd 2.97, 6 Sb 3.18-3.31
Ce2 0.0000 0.0000 0.5154  3 Pd 2.97, 6 Sb 3.18-3.31
Pd1 0.3333 0.6667 0.6943  3 Sb 2.73, 3 Ce 2.97
Pd2 0.6667 0.3333 0.1943  3 Sb 2.73, 3 Ce 2.97
Sb1 0.3333 0.6667 0.2813  3 Pd 2.73
Sb2 0.6667 0.3333 0.7813  3 Pd 2.73

Output
The formation energy (no corrections) comes out at -2.87 eV per formula unit. As for the space group: P6_3mc (186).

# 3
The following is a GGA-PBEsol calculation of a geometry-optimized CaAlSe2 structure, from Alexandria.

a = 3.4870 Å, b = 4.8651 Å, c = 4.8651 Å
α = 89.99°, β = 89.56°, γ = 89.56°
Closest atoms and distances in Å follow each position.
Sites, in units of the cell vectors:
Ca1 0.5000 0.0000 0.0000  8 Se 2.98-3.00
Se1 0.0000 0.0000 0.5000  4 Ca 2.98-3.00, 4 Al 2.98-3.00
Se2 0.0000 0.5000 0.0000  4 Al 2.98-3.00, 4 Ca 2.98-3.00
Al1 0.5000 0.5000 0.5000  8 Se 2.98-3.00

Output
The formation energy (no corrections) comes out at -3.67 eV per formula unit. As for the space group: C2/m (12).

# 4
The following is a GGA-PBEsol calculation of a geometry-optimized NaZn2Ge2 structure, from Alexandria.

a = 4.1787 Å, b = 4.1787 Å, c = 6.1177 Å
α = 109.97°, β = 109.97°, γ = 90.00°
Closest atoms and distances in Å follow each position.
Sites, in units of the cell vectors:
Na1 0.0000 0.0000 0.0000  8 Ge 3.20, 8 Zn 3.40
Ge1 0.3856 0.3856 0.7713  1 Ge 2.45, 4 Zn 2.55
Ge2 0.6143 0.6143 0.2287  1 Ge 2.45, 4 Zn 2.55
Zn1 0.7500 0.2500 0.5000  4 Ge 2.55
Zn2 0.2500 0.7500 0.5000  4 Ge 2.55

Output
As for the formation energy: -0.10 eV per atom. As for the space group: I4/mmm (139).

# 5
The following is a GGA-PBEsol calculation of a geometry-optimized InCuPO5 structure, from Alexandria.

a = 6.6398 Å, b = 7.2684 Å, c = 7.8487 Å
α = 90.00°, β = 90.00°, γ = 90.00°
Closest atoms and distances in Å follow each position.
Sites, in units of the cell vectors:
O1 0.9375 0.2289 0.6227  1 P 1.57
O2 0.2500 0.1251 0.4329  2 Cu 1.96, 1 In 2.10
O3 0.2500 0.9494 0.0693  1 P 1.52
O4 0.5625 0.2711 0.1227  1 P 1.57
O5 0.7500 0.4927 0.7552  1 P 1.53
O6 0.4375 0.7711 0.3773  1 P 1.57
O7 0.7500 0.0506 0.9307  1 P 1.52
O8 0.7500 0.4494 0.4307  1 P 1.52
O9 0.7500 0.8749 0.5671  2 Cu 1.96, 1 In 2.10
O10 0.2500 0.9927 0.7448  1 P 1.53
O11 0.0625 0.7289 0.8773  1 P 1.57
O12 0.2500 0.5506 0.5693  1 P 1.52
O13 0.5625 0.2289 0.6227  1 P 1.57
O14 0.2500 0.3749 0.9329  2 Cu 1.96, 1 In 2.10
O15 0.0625 0.7711 0.3773  1 P 1.57
O16 0.2500 0.5073 0.2448  1 P 1.53
O17 0.7500 0.6251 0.0671  2 Cu 1.96, 1 In 2.10
O18 0.9375 0.2711 0.1227  1 P 1.57
O19 0.7500 0.0073 0.2552  1 P 1.53
O20 0.4375 0.7289 0.8773  1 P 1.57
P1 0.7500 0.3580 0.6051  4 O 1.52-1.57
P2 0.2500 0.8580 0.8949  4 O 1.52-1.57
P3 0.7500 0.1420 0.1051  4 O 1.52-1.57
P4 0.2500 0.6420 0.3949  4 O 1.52-1.57
Cu1 0.0000 0.0000 0.5000  4 O 1.96-1.97
Cu2 0.5000 0.0000 0.5000  4 O 1.96-1.97
Cu3 0.5000 0.5000 0.0000  4 O 1.96-1.97
Cu4 0.0000 0.5000 0.0000  4 O 1.96-1.97
In1 0.7500 0.7117 0.3224  6 O 2.09-2.26
In2 0.2500 0.2117 0.1776  6 O 2.09-2.26
In3 0.7500 0.7883 0.8224  6 O 2.09-2.26
In4 0.2500 0.2883 0.6776  6 O 2.09-2.26

Output
The formation energy (no corrections) comes out at -13.10 eV per formula unit. As for the space group: Pnma (62).

# 6
The following is a GGA-PBEsol calculation of a geometry-optimized Li5Pb structure, from Alexandria.

a = 4.8857 Å, b = 5.1355 Å, c = 5.1355 Å
α = 120.00°, β = 90.00°, γ = 90.00°
Closest atoms and distances in Å follow each position.
Sites, in units of the cell vectors:
Li1 0.0000 0.6885 0.0000  10 Li 2.77-3.07, 2 Pb 2.92
Li2 0.5000 0.6667 0.3333  9 Li 2.96-3.02, 3 Pb 2.96
Li3 0.5000 0.3333 0.6667  9 Li 2.96-3.02, 3 Pb 2.96
Li4 0.0000 0.0000 0.6885  10 Li 2.77-3.07, 2 Pb 2.92
Li5 0.0000 0.3115 0.3115  10 Li 2.77-3.07, 2 Pb 2.92
Pb1 0.5000 0.0000 0.0000  12 Li 2.92-2.96

Output
As for the formation energy: -0.24 eV per atom. The value obtained for the energy above the most stable polymorph in this dataset is 0.0140 eV per atom. As for the space group: P-62m (189).

> What is the formula in the second record?

CeSbPd